(1)
Nd3HoSe4, optimized geometry, DFT GGA-PBE; energy above the most stable polymorph in this dataset = 5 meV per atom; E_form (uncorrected) = -1805 meV/atom; total magnetization = 0.00 μB/atom
1.0
-3.724 -1.229 -1.287
1.705 -6.896 1.652
-3.050 3.121 5.843
Nd Se Ho
3 4 1
Direct
0.000 0.000 0.500
0.500 0.500 0.500
0.000 0.500 0.000
0.000 0.239 0.239
0.500 0.756 0.244
0.000 0.761 0.761
0.500 0.244 0.756
0.500 0.000 0.000

(2)
NdHoSiSe, optimized geometry, DFT GGA-PBE; E_form (uncorrected) = -1286 meV/atom; total magnetization = 0.00 μB/atom
1.0
-0.975 4.026 0.465
-2.302 1.225 3.252
4.652 2.713 4.943
Nd Ho Si Se
1 1 1 1
Direct
0.449 0.449 0.654
0.940 0.940 0.179
0.197 0.197 0.408
0.690 0.690 0.929

(3)
Nd2SmHo3Se6, optimized geometry, DFT GGA-PBE; E_form (uncorrected) = -1782 meV/atom; total magnetization = 0.00 μB/atom
1.0
4.092 0.000 0.000
0.000 8.363 0.191
-2.046 -2.523 8.702
Se Ho Nd Sm
6 3 2 1
Direct
0.331 0.927 0.663
0.337 0.408 0.674
0.669 0.073 0.337
0.663 0.592 0.326
0.996 0.256 0.992
0.004 0.744 0.008
0.832 0.167 0.665
0.500 0.500 0.000
0.168 0.833 0.335
0.167 0.334 0.334
0.833 0.666 0.666
0.500 0.000 0.000

(4)
NdSmHo2Se6, optimized geometry, DFT GGA-PBE; E_form (uncorrected) = -1845 meV/atom; total magnetization = 0.00 μB/atom
1.0
7.308 0.000 0.000
3.654 6.329 -0.001
3.654 2.110 6.506
Se Ho Sm Nd
6 2 1 1
Direct
0.397 0.729 0.746
0.622 0.229 0.246
0.128 0.397 0.746
0.729 0.128 0.746
0.903 0.622 0.246
0.229 0.903 0.246
0.514 0.514 0.458
0.013 0.013 0.962
0.315 0.315 0.055
0.813 0.813 0.562

(5)
NdSm3Ho3Se8, optimized geometry, DFT GGA-PBE; E_form (uncorrected) = -1840 meV/atom; total magnetization = 0.00 μB/atom
1.0
8.205 0.000 0.000
-4.103 7.106 -0.025
0.000 -4.714 6.740
Sm Se Ho Nd
3 8 3 1
Direct
0.000 0.500 0.000
0.500 0.500 0.000
0.000 0.000 0.000
0.258 0.993 0.751
0.742 0.007 0.249
0.747 0.493 0.740
0.735 0.993 0.751
0.265 0.007 0.249
0.258 0.516 0.751
0.253 0.507 0.260
0.742 0.484 0.249
0.500 0.000 0.500
0.500 0.500 0.500
0.000 0.500 0.500
0.000 0.000 0.500

(6)
NdSm2HoSe5, optimized geometry, DFT GGA-PBE; E_form (uncorrected) = -1242 meV/atom; total magnetization = 0.00 μB/atom
1.0
5.125 0.000 0.000
0.000 5.125 0.000
0.000 0.000 10.988
Nd Se Sm Ho
1 5 2 1
Direct
0.000 0.000 0.000
0.000 0.000 0.251
0.500 0.500 0.000
0.000 0.000 0.749
0.000 0.500 0.500
0.500 0.000 0.500
0.500 0.500 0.663
0.500 0.500 0.337
0.000 0.000 0.500

(7)
Nd3Sm3HoSe8, optimized geometry, DFT GGA-PBE; E_form (uncorrected) = -1869 meV/atom; total magnetization = 0.00 μB/atom
1.0
8.351 0.000 0.000
-4.176 7.232 -0.026
0.000 -4.798 6.868
Se Sm Ho Nd
8 3 1 3
Direct
0.246 0.997 0.743
0.754 0.003 0.257
0.751 0.997 0.743
0.754 0.507 0.257
0.249 0.003 0.257
0.748 0.497 0.745
0.246 0.493 0.743
0.252 0.503 0.255
0.500 0.500 0.500
0.000 0.500 0.500
0.500 0.000 0.500
0.000 0.000 0.500
0.000 0.500 0.000
0.500 0.500 0.000
0.000 0.000 0.000

(8)
Nd4Sm3HoSe8, optimized geometry, DFT GGA-PBE; E_form (uncorrected) = -1811 meV/atom; total magnetization = 0.00 μB/atom
1.0
-1.922 7.903 1.908
-4.090 -2.648 6.848
7.975 -2.191 -1.178
Se Sm Nd Ho
8 3 4 1
Direct
0.748 0.745 0.496
0.244 0.741 0.488
0.248 0.260 0.004
0.752 0.740 0.996
0.756 0.260 0.004
0.252 0.255 0.504
0.756 0.259 0.512
0.244 0.740 0.996
0.000 0.500 0.500
0.500 0.500 0.500
0.500 0.500 0.000
0.500 0.000 0.000
0.000 0.000 0.500
0.500 0.000 0.500
0.000 0.000 0.000
0.000 0.500 0.000

(9)
Nd3Sm4HoSe8, optimized geometry, DFT GGA-PBE; E_form (uncorrected) = -1805 meV/atom; total magnetization = 0.00 μB/atom
1.0
8.373 0.000 0.000
0.000 8.357 -0.013
-4.187 -4.179 5.921
Se Nd Sm Ho
8 3 4 1
Direct
0.754 0.251 0.996
0.752 0.755 0.504
0.246 0.749 0.492
0.758 0.749 0.004
0.754 0.251 0.508
0.246 0.749 0.004
0.242 0.251 0.996
0.248 0.245 0.496
0.500 0.500 0.000
0.000 0.500 0.500
0.500 0.500 0.500
0.000 0.000 0.500
0.000 0.000 0.000
0.500 0.000 0.000
0.500 0.000 0.500
0.000 0.500 0.000

(10)
NdSm3Ho2Se6, optimized geometry, DFT GGA-PBE; E_form (uncorrected) = -1791 meV/atom; total magnetization = 0.00 μB/atom
1.0
7.177 -0.015 -0.001
-3.600 6.209 -0.001
-1.194 -2.068 6.783
Se Sm Nd Ho
6 3 1 2
Direct
0.574 0.918 0.754
0.426 0.082 0.246
0.736 0.736 0.240
0.918 0.574 0.754
0.082 0.426 0.246
0.264 0.264 0.760
0.500 0.500 0.500
0.841 0.159 0.500
0.159 0.841 0.500
0.000 0.000 0.000
0.666 0.334 0.000
0.334 0.666 0.000

(11)
NdHoSnSe, optimized geometry, DFT GGA-PBE; E_form (uncorrected) = -1261 meV/atom; total magnetization = 0.00 μB/atom
1.0
4.302 0.000 0.000
0.000 4.296 0.255
0.000 -0.364 6.139
Ho Sn Nd Se
1 1 1 1
Direct
0.000 0.892 0.592
0.500 0.392 0.593
0.500 0.391 0.093
0.000 0.891 0.092

(12)
Sr3NdHo3Se8, optimized geometry, DFT GGA-PBE; E_form (uncorrected) = -1914 meV/atom; total magnetization = 0.00 μB/atom
1.0
8.340 0.000 0.000
-4.170 7.223 -0.026
0.000 -4.790 7.132
Se Ho Sr Nd
8 3 3 1
Direct
0.750 0.018 0.268
0.750 0.501 0.268
0.250 0.982 0.732
0.257 0.514 0.272
0.250 0.499 0.732
0.267 0.018 0.268
0.743 0.486 0.728
0.733 0.982 0.732
0.500 0.500 0.500
0.500 0.000 0.500
0.000 0.500 0.500
0.000 0.500 0.000
0.500 0.500 0.000
0.000 0.000 0.000
0.000 0.000 0.500

(13)
SrNd2HoSe4, optimized geometry, DFT GGA-PBE; E_form (uncorrected) = -1832 meV/atom; total magnetization = 0.00 μB/atom
1.0
4.195 0.000 0.000
0.000 7.370 -0.191
0.000 2.551 6.850
Se Nd Sr Ho
4 2 1 1
Direct
0.500 0.740 0.262
0.500 0.260 0.738
0.000 0.252 0.260
0.000 0.748 0.740
0.000 0.000 0.000
0.500 0.000 0.500
0.500 0.500 0.000
0.000 0.500 0.500

(14)
SrNdHo4Se8, optimized geometry, DFT GGA-PBE; E_form (uncorrected) = -1785 meV/atom; total magnetization = 0.00 μB/atom
1.0
8.508 0.000 0.000
4.254 7.368 0.000
4.254 2.456 7.053
Nd Se Sr Ho
1 8 1 4
Direct
0.002 0.002 0.994
0.243 0.788 0.726
0.752 0.752 0.266
0.788 0.243 0.726
0.758 0.758 0.726
0.752 0.231 0.266
0.243 0.243 0.726
0.231 0.752 0.266
0.236 0.236 0.293
0.373 0.373 0.881
0.002 0.495 0.502
0.495 0.002 0.502
0.002 0.002 0.502
0.626 0.626 0.123

(15)
SrNdHo2Se4, optimized geometry, DFT GGA-PBE; E_form (uncorrected) = -1817 meV/atom; total magnetization = 0.00 μB/atom
1.0
-1.357 -3.823 0.869
6.422 -2.742 -2.035
4.390 -0.247 5.766
Ho Se Sr Nd
2 4 1 1
Direct
0.500 0.000 0.500
0.000 0.000 0.000
0.000 0.231 0.258
0.500 0.767 0.246
0.500 0.233 0.754
0.000 0.769 0.742
0.500 0.500 0.000
0.000 0.500 0.500

(16)
Tb3Nd2HoSe6, optimized geometry, DFT GGA-PBE; E_form (uncorrected) = -1786 meV/atom; total magnetization = 0.00 μB/atom
1.0
-2.935 -1.670 2.350
5.829 -3.644 4.690
0.188 8.782 2.873
Tb Se Nd Ho
3 6 2 1
Direct
0.829 0.166 0.659
0.500 0.500 0.000
0.171 0.834 0.341
0.997 0.245 0.993
0.663 0.590 0.326
0.337 0.410 0.674
0.664 0.074 0.327
0.003 0.755 0.007
0.336 0.926 0.673
0.169 0.337 0.337
0.831 0.663 0.663
0.500 0.000 0.000

(17)
TbNd2HoSe5, optimized geometry, DFT GGA-PBE; E_form (uncorrected) = -1271 meV/atom; total magnetization = 0.00 μB/atom
1.0
5.124 0.000 0.000
0.000 5.124 0.000
0.000 0.000 10.766
Tb Se Ho Nd
1 5 1 2
Direct
0.000 0.000 0.000
0.500 0.000 0.500
0.000 0.000 0.247
0.000 0.000 0.753
0.500 0.500 0.000
0.000 0.500 0.500
0.000 0.000 0.500
0.500 0.500 0.679
0.500 0.500 0.321

(18)
TbNd4Ho3Se8, optimized geometry, DFT GGA-PBE; E_form (uncorrected) = -1789 meV/atom; total magnetization = 0.00 μB/atom
1.0
8.204 0.000 0.000
0.000 8.397 0.128
-4.102 -4.099 5.804
Se Tb Ho Nd
8 1 3 4
Direct
0.256 0.267 0.511
0.754 0.266 0.012
0.744 0.733 0.489
0.257 0.266 0.012
0.743 0.734 0.988
0.246 0.734 0.491
0.246 0.734 0.988
0.754 0.266 0.509
0.000 0.500 0.000
0.000 0.500 0.500
0.500 0.500 0.500
0.500 0.500 0.000
0.500 0.000 0.500
0.500 0.000 0.000
0.000 0.000 0.000
0.000 0.000 0.500

(19)
Tb2NdHoSe4, optimized geometry, DFT GGA-PBE; E_form (uncorrected) = -1770 meV/atom; total magnetization = 0.00 μB/atom
1.0
-2.234 -1.217 3.171
5.917 -2.038 3.386
2.490 5.561 3.889
Ho Tb Se Nd
1 2 4 1
Direct
0.000 0.500 0.500
0.500 0.000 0.500
0.000 0.000 0.000
0.000 0.243 0.260
0.500 0.249 0.743
0.000 0.757 0.740
0.500 0.751 0.257
0.500 0.500 0.000

(20)
TbNd2HoSe6, optimized geometry, DFT GGA-PBE; E_form (uncorrected) = -1845 meV/atom; total magnetization = 0.00 μB/atom
1.0
-4.923 -0.037 -5.462
-1.203 -6.164 -3.826
-6.713 -3.776 1.126
Se Nd Ho Tb
6 2 1 1
Direct
0.932 0.606 0.258
0.605 0.205 0.258
0.205 0.932 0.258
0.706 0.103 0.756
0.434 0.706 0.756
0.103 0.435 0.756
0.019 0.020 0.942
0.519 0.519 0.443
0.819 0.819 0.543
0.318 0.318 0.045

Number 1: V 25.99 Å³ per atom. Number 2: V 25.97 Å³ per atom. Number 3: V 24.98 Å³ per atom. Number 4: V 30.09 Å³ per atom. Number 5: V 26.14 Å³ per atom. Number 6: V 32.06 Å³ per atom. Number 7: V 27.58 Å³ per atom. Number 8: V 26.00 Å³ per atom. Number 9: V 25.87 Å³ per atom. Number 10: V 25.15 Å³ per atom. Number 11: V 28.46 Å³ per atom. Number 12: V 28.57 Å³ per atom. Number 13: V 26.73 Å³ per atom. Number 14: V 31.58 Å³ per atom. Number 15: V 25.86 Å³ per atom. Number 16: V 25.00 Å³ per atom. Number 17: V 31.40 Å³ per atom. Number 18: V 25.26 Å³ per atom. Number 19: V 24.74 Å³ per atom. Number 20: V 30.56 Å³ per atom.